# 1
! MgMn3Cu | the Alexandria database | meta-GGA SCAN | PBEsol geometry; values from VASP
&SYSTEM
  ibrav = 0, nat = 5, ntyp = 3
/
ATOMIC_SPECIES
Mn 54.94 Mn.upf
Mg 24.30 Mg.upf
Cu 63.55 Cu.upf
ATOMIC_POSITIONS angstrom
Mn -1.495 -1.599 -0.563
Mn -0.275 -0.512 2.184
Mg -3.443 -0.598 1.766
Cu 0.000 0.000 0.000
Mn -1.673 1.513 0.144
CELL_PARAMETERS angstrom
-3.346 3.026 0.289
-2.990 -3.198 -1.126
-0.549 -1.024 4.369
! Formation enthalpy at 0 K, eV per atom: 0.44
! Crystal system: cubic
! Total energy, Ha/atom: -0.535



# 2
! MgMnCu2 | the Alexandria database | meta-GGA SCAN | PBEsol geometry; values from VASP
&SYSTEM
  ibrav = 0, nat = 4, ntyp = 3
/
ATOMIC_SPECIES
Cu 63.55 Cu.upf
Mg 24.30 Mg.upf
Mn 54.94 Mn.upf
ATOMIC_POSITIONS angstrom
Cu 0.000 2.066 2.066
Mg 1.564 2.066 0.000
Cu 0.000 0.000 0.000
Mn 1.564 0.000 2.066
CELL_PARAMETERS angstrom
3.129 0.000 0.000
0.000 4.133 0.000
0.000 0.000 4.133
! Formation enthalpy at 0 K, eV per atom: -0.09
! Crystal system: tetragonal
! Total energy, Ha/atom: -0.496



# 3
! MgMn3Cu2O8 | the Alexandria database | meta-GGA SCAN | PBEsol geometry; values from VASP
&SYSTEM
  ibrav = 0, nat = 56, ntyp = 4
/
ATOMIC_SPECIES
O 16.00 O.upf
Cu 63.55 Cu.upf
Mn 54.94 Mn.upf
Mg 24.30 Mg.upf
ATOMIC_POSITIONS angstrom
O 1.021 1.237 7.035
O 5.272 7.184 5.340
Cu 6.098 2.107 6.209
O 1.031 3.221 0.814
O 3.221 0.814 1.031
Mn 3.077 5.078 3.027
Mn 7.129 1.026 3.127
Cu 4.158 4.047 8.149
Cu 4.047 8.149 4.158
O 5.123 2.865 1.170
O 1.237 7.035 1.021
Mg 3.077 1.026 7.179
O 7.243 0.962 5.064
O 7.035 1.021 1.237
Mn 5.078 3.027 3.077
O 6.968 2.933 3.082
O 1.089 3.013 5.192
O 5.192 1.089 3.013
Mn 5.128 0.975 1.076
O 3.072 4.984 4.916
Mn 1.026 3.127 7.129
Mg 1.026 7.179 3.077
O 3.013 5.192 1.089
Cu 6.209 6.098 2.107
O 7.323 3.288 7.174
O 3.288 7.174 7.323
Cu 0.056 0.056 0.056
Mn 7.179 7.230 5.178
Mn 5.178 7.179 7.230
O 7.184 5.340 5.272
O 7.174 7.323 3.288
O 4.916 3.072 4.984
O 2.933 3.082 6.968
Cu 2.107 6.209 6.098
Mg 7.179 3.077 1.026
O 2.865 1.170 5.123
O 4.984 4.916 3.072
Mn 0.975 1.076 5.128
Mg 5.128 5.128 5.128
Mn 3.027 3.077 5.078
Mn 1.076 5.128 0.975
O 0.814 1.031 3.221
O 1.170 5.123 2.865
O 5.340 5.272 7.184
O 0.881 7.391 5.133
O 7.391 5.133 0.881
Cu 8.149 4.158 4.047
O 5.064 7.243 0.962
O 3.082 6.968 2.933
O 5.133 0.881 7.391
O 3.140 3.140 3.140
Mn 3.127 7.129 1.026
Cu 1.996 1.996 1.996
Mn 7.230 5.178 7.179
O 7.116 7.116 7.116
O 0.962 5.064 7.243
CELL_PARAMETERS angstrom
8.205 0.000 0.000
0.000 8.205 0.000
0.000 0.000 8.205
! Uncorrected formation energy, kcal/mol of atoms: -45.291
! Crystal system: cubic
! Total energy, Ha/atom: -0.440



# 4
! Mg30MnCuO32 | the Alexandria database | meta-GGA SCAN | PBEsol geometry; values from VASP
&SYSTEM
  ibrav = 0, nat = 64, ntyp = 4
/
ATOMIC_SPECIES
Mg 24.30 Mg.upf
O 16.00 O.upf
Cu 63.55 Cu.upf
Mn 54.94 Mn.upf
ATOMIC_POSITIONS angstrom
Mg -6.506 2.668 -1.969
Mg -8.274 5.064 -1.898
O -3.824 6.480 -1.193
Mg -1.824 0.588 -2.340
O -4.443 -1.390 -0.741
Mg -6.520 0.845 -4.326
Cu -3.597 1.160 -4.615
Mg -2.909 1.508 2.646
Mg -5.898 -0.636 0.582
Mg -8.844 -0.951 0.876
Mg -4.714 2.090 0.330
Mg -4.738 0.271 -2.040
O -6.163 2.843 1.671
Mg -2.989 -2.144 -2.064
Mg -5.371 1.732 -6.891
O -6.812 4.332 -3.254
Mg -6.492 4.490 0.388
Mg -2.365 5.705 -2.501
O -0.289 1.569 -1.211
Mg -8.298 3.245 -4.268
O -0.927 5.039 -3.891
O -4.407 2.285 4.009
O -3.276 -0.586 -3.267
Mg -5.934 -2.460 -1.772
O -1.410 0.731 1.283
O -3.210 3.143 1.383
Mg -5.275 7.214 0.146
O -5.177 0.027 -5.706
Mg -3.517 4.812 0.095
O -2.017 2.293 -3.524
O -7.353 0.118 1.905
O -4.971 5.566 1.418
O -2.062 4.058 -1.228
O -3.919 2.906 -5.964
O -1.420 -1.018 -0.980
Mg -2.951 -0.321 0.288
Mg -4.771 -1.526 -4.375
O -6.200 1.004 -0.684
Mg -4.669 3.918 2.691
Mg -5.862 1.188 2.935
O -8.011 1.588 -3.009
O -4.388 0.447 1.624
O -9.158 0.694 -0.398
O -3.853 4.641 -3.541
O -6.240 -0.818 -3.053
Mn 0.000 0.000 0.000
Mg -0.608 3.304 -2.551
O -9.768 4.005 -2.954
O -6.849 2.492 -5.609
O -7.911 3.396 -0.691
Mg -7.672 1.792 0.629
O -6.772 6.154 -0.886
Mg -7.692 -0.046 -1.727
Mg -1.758 2.409 0.044
O -4.559 -3.270 -3.148
O -3.244 1.330 -0.984
O -5.000 3.748 -0.929
Mg -3.559 2.969 -2.281
O -7.407 -1.719 -0.460
Mg -2.423 3.846 -4.855
Mg -5.320 5.381 -2.212
O -5.101 1.939 -3.247
Mg -9.453 2.366 -1.657
Mg -5.340 3.544 -4.567
CELL_PARAMETERS angstrom
-1.216 6.608 -5.102
-5.978 -4.288 -4.128
-5.817 3.016 5.292
! Uncorrected formation energy, kcal/mol of atoms: -66.507
! Crystal system: tetragonal
! Total energy, Ha/atom: -0.325



# 5
! MgMnCuRe2 | the Alexandria database | meta-GGA SCAN | PBEsol geometry; values from VASP
&SYSTEM
  ibrav = 0, nat = 5, ntyp = 4
/
ATOMIC_SPECIES
Re 186.21 Re.upf
Mn 54.94 Mn.upf
Cu 63.55 Cu.upf
Mg 24.30 Mg.upf
ATOMIC_POSITIONS angstrom
Re 2.171 0.000 0.000
Mn 0.000 0.000 0.000
Cu 2.171 2.171 2.286
Re 0.000 2.171 0.000
Mg 0.000 0.000 2.286
CELL_PARAMETERS angstrom
4.341 0.000 0.000
0.000 4.341 0.000
0.000 0.000 4.571
! Formation enthalpy at 0 K, eV per atom: 1.49
! Crystal system: tetragonal
! Total energy, Ha/atom: -1.273



# 6
! MgCuMo | the Alexandria database | meta-GGA SCAN | PBEsol geometry; values from VASP
&SYSTEM
  ibrav = 0, nat = 3, ntyp = 3
/
ATOMIC_SPECIES
Mo 95.94 Mo.upf
Mg 24.30 Mg.upf
Cu 63.55 Cu.upf
ATOMIC_POSITIONS angstrom
Mo -1.476 1.596 1.411
Mg -2.953 3.191 2.823
Cu 0.000 0.000 0.000
CELL_PARAMETERS angstrom
-1.305 4.000 0.459
-3.942 0.802 1.316
-0.659 1.580 3.871
! Formation enthalpy at 0 K, eV per atom: 1.26
! Crystal system: cubic
! Energy above the lowest structure with this stoichiometry, kJ per mole of atoms: 75.4
! Total energy, Ha/atom: -0.628



# 7
! MgCuMo2 | the Alexandria database | meta-GGA SCAN | PBEsol geometry; values from VASP
&SYSTEM
  ibrav = 0, nat = 4, ntyp = 3
/
ATOMIC_SPECIES
Cu 63.55 Cu.upf
Mg 24.30 Mg.upf
Mo 95.94 Mo.upf
ATOMIC_POSITIONS angstrom
Cu 1.305 2.242 0.028
Mg 0.796 2.242 2.547
Mo -0.682 0.000 3.805
Mo 2.275 0.000 1.289
CELL_PARAMETERS angstrom
2.610 0.000 0.056
0.000 4.484 0.000
-1.018 0.000 5.037
! Formation enthalpy at 0 K, eV per atom: 0.31
! Crystal system: monoclinic
! Energy above the lowest structure with this stoichiometry, kJ per mole of atoms: 7.0
! Total energy, Ha/atom: -0.815



# 8
! MgCu2Mo | the Alexandria database | meta-GGA SCAN | PBEsol geometry; values from VASP
&SYSTEM
  ibrav = 0, nat = 4, ntyp = 3
/
ATOMIC_SPECIES
Mg 24.30 Mg.upf
Cu 63.55 Cu.upf
Mo 95.94 Mo.upf
ATOMIC_POSITIONS angstrom
Mg 1.316 1.864 0.000
Cu 0.000 0.000 4.184
Mo 1.316 1.864 2.855
Cu 0.000 0.000 1.525
CELL_PARAMETERS angstrom
2.632 0.000 0.000
0.000 3.727 0.000
0.000 0.000 5.709
! Formation enthalpy at 0 K, eV per atom: 0.21
! Crystal system: orthorhombic
! Energy above the lowest structure with this stoichiometry, kJ per mole of atoms: 0.0
! Total energy, Ha/atom: -0.638